Entry 1:
A plane-wave DFT calculation with PBE was carried out for crystalline Rb2H6Ir at its relaxed geometry.

Unit cell a=5.3002 b=5.3002 c=11.1792 alpha=90.00 beta=90.00 gamma=90.00
Element x y z (fractional)
Rb 0.0000 0.0000 0.1610
Rb 0.0000 0.0000 0.8390
Rb 0.5000 0.5000 0.3390
Rb 0.5000 0.5000 0.6610
H 0.1500 0.1500 0.3881
H 0.1500 0.1500 0.6119
H 0.2248 0.7752 0.5000
H 0.2752 0.2752 0.0000
H 0.3500 0.6500 0.1119
H 0.3500 0.6500 0.8881
H 0.6500 0.3500 0.1119
H 0.6500 0.3500 0.8881
H 0.7248 0.7248 0.0000
H 0.7752 0.2248 0.5000
H 0.8500 0.8500 0.3881
H 0.8500 0.8500 0.6119
Ir 0.0000 0.0000 0.5000
Ir 0.5000 0.5000 0.0000

Crystal system: tetragonal
Energy, eV per atom: -3.50
ρ, g cm⁻³: 3.90

=====

Entry 2:
A plane-wave DFT calculation with PBE was carried out for crystalline RbH5Ir at its relaxed geometry.

Unit cell a=5.6676 b=5.6676 c=5.6676 alpha=110.39 beta=110.15 gamma=107.89
Element x y z (fractional)
Rb 0.2542 0.0042 0.2500
Rb 0.7458 0.9958 0.7500
H 0.1684 0.5039 0.2944
H 0.1684 0.8740 0.6645
H 0.2906 0.1260 0.7944
H 0.2906 0.4961 0.1645
H 0.3438 0.5938 0.7500
H 0.6562 0.4062 0.2500
H 0.7094 0.5039 0.8355
H 0.7094 0.8740 0.2056
H 0.8316 0.1260 0.3355
H 0.8316 0.4961 0.7056
Ir 0.0000 0.5000 0.5000
Ir 0.5000 0.5000 0.0000

Crystal system: orthorhombic
Energy, eV per atom: -3.80
ρ, g cm⁻³: 6.70

=====

Entry 3:
A plane-wave DFT calculation with PBE was carried out for crystalline RbHIr3 at its relaxed geometry.

Unit cell a=5.0486 b=5.0486 c=5.0486 alpha=90.00 beta=90.00 gamma=90.00
Element x y z (fractional)
Rb 0.0000 0.0000 0.0000
H 0.5000 0.5000 0.5000
Ir 0.0000 0.0000 0.5000
Ir 0.0000 0.5000 0.0000
Ir 0.5000 0.0000 0.0000

Crystal system: cubic
Energy, eV per atom: -2.30
ρ, g cm⁻³: 8.56

=====

Entry 4:
A plane-wave DFT calculation with PBE was carried out for crystalline RbH3Ir at its relaxed geometry.

Unit cell a=4.2614 b=4.2614 c=4.2614 alpha=90.00 beta=90.00 gamma=90.00
Element x y z (fractional)
Rb 0.0000 0.0000 0.0000
H 0.0000 0.0000 0.5000
H 0.0000 0.5000 0.0000
H 0.5000 0.0000 0.0000
Ir 0.5000 0.5000 0.5000

Crystal system: cubic
Energy, eV per atom: -1.90
ρ, g cm⁻³: 6.02

=====

Entry 5:
A plane-wave DFT calculation with PBE was carried out for crystalline Rb3H6Ir at its relaxed geometry.

Unit cell a=6.1415 b=6.1415 c=6.1415 alpha=60.00 beta=60.00 gamma=60.00
Element x y z (fractional)
Rb 0.0000 0.0000 0.0000
Rb 0.2500 0.2500 0.2500
Rb 0.7500 0.7500 0.7500
H 0.3055 0.3055 0.6945
H 0.3055 0.6945 0.3055
H 0.3055 0.6945 0.6945
H 0.6945 0.3055 0.3055
H 0.6945 0.3055 0.6945
H 0.6945 0.6945 0.3055
Ir 0.5000 0.5000 0.5000

Crystal system: cubic
Energy, eV per atom: -3.54
ρ, g cm⁻³: 4.61

=====

Entry 6:
A plane-wave DFT calculation with PBE was carried out for crystalline RbH3Ir at its relaxed geometry.

Unit cell a=3.8336 b=3.8336 c=3.8336 alpha=90.00 beta=90.00 gamma=90.00
Element x y z (fractional)
Rb 0.0000 0.0000 0.0000
H 0.0000 0.5000 0.5000
H 0.5000 0.0000 0.5000
H 0.5000 0.5000 0.0000
Ir 0.5000 0.5000 0.5000

Crystal system: cubic
Energy, eV per atom: -3.88
ρ, g cm⁻³: 8.27

=====

Entry 7:
A plane-wave DFT calculation with PBE was carried out for crystalline RbH2Ir at its relaxed geometry.

Unit cell a=5.6352 b=5.6352 c=5.6352 alpha=119.71 beta=119.71 gamma=90.50
Element x y z (fractional)
Rb 0.0000 0.0000 0.0000
Rb 0.7500 0.2500 0.5000
H 0.3308 0.1250 0.7058
H 0.3750 0.6692 0.7942
H 0.4192 0.6250 0.2942
H 0.8750 0.5808 0.2058
Ir 0.2500 0.7500 0.5000
Ir 0.5000 0.5000 0.0000

Crystal system: tetragonal
Energy, eV per atom: -3.93
ρ, g cm⁻³: 7.31

=====

Entry 8:
A plane-wave DFT calculation with PBE was carried out for crystalline RbSi2HIr at its relaxed geometry.

Unit cell a=4.4940 b=4.4940 c=7.1715 alpha=90.00 beta=90.00 gamma=90.00
Element x y z (fractional)
Rb 0.0000 0.0000 0.0000
Si 0.0000 0.5000 0.5000
Si 0.5000 0.0000 0.5000
H 0.5000 0.5000 0.0000
Ir 0.0000 0.0000 0.5000

Crystal system: tetragonal
Energy, eV per atom: -4.51
ρ, g cm⁻³: 3.84

=====

Entry 9:
A plane-wave DFT calculation with PBE was carried out for crystalline RbTcHIr2 at its relaxed geometry.

Unit cell a=5.0845 b=5.0845 c=3.1045 alpha=90.00 beta=90.00 gamma=90.00
Element x y z (fractional)
Rb 0.0000 0.0000 0.0000
Tc 0.5000 0.5000 0.5000
H 0.0000 0.0000 0.5000
Ir 0.0000 0.5000 0.0000
Ir 0.5000 0.0000 0.0000

Crystal system: tetragonal
Energy, eV per atom: -4.03
ρ, g cm⁻³: 11.77

=====

Entry 10:
A plane-wave DFT calculation with PBE was carried out for crystalline Rb2TlH6Ir at its relaxed geometry.

Unit cell a=5.9797 b=5.9797 c=6.6065 alpha=90.00 beta=90.00 gamma=120.00
Element x y z (fractional)
Rb 0.3333 0.6667 0.1505
Rb 0.6667 0.3333 0.8495
Tl 0.0000 0.0000 0.5000
H 0.1332 0.2664 0.8502
H 0.1332 0.8668 0.8502
H 0.2664 0.1332 0.1498
H 0.7336 0.8668 0.8502
H 0.8668 0.1332 0.1498
H 0.8668 0.7336 0.1498
Ir 0.0000 0.0000 0.0000

Crystal system: trigonal
Energy, eV per atom: -3.53
ρ, g cm⁻³: 4.66

=====

Entry 11:
A plane-wave DFT calculation with PBE was carried out for crystalline RbHIrW2 at its relaxed geometry.

Unit cell a=5.1095 b=5.1095 c=3.0160 alpha=90.00 beta=90.00 gamma=90.00
Element x y z (fractional)
Rb 0.0000 0.0000 0.0000
H 0.0000 0.0000 0.5000
Ir 0.5000 0.5000 0.5000
W 0.0000 0.5000 0.0000
W 0.5000 0.0000 0.0000

Crystal system: tetragonal
Energy, eV per atom: -4.94
ρ, g cm⁻³: 13.63

=====

Entry 12:
A plane-wave DFT calculation with PBE was carried out for crystalline ReHIr at its relaxed geometry.

Unit cell a=6.2213 b=6.2213 c=7.8087 alpha=115.03 beta=115.03 gamma=48.50
Element x y z (fractional)
Re 0.0213 0.6440 0.6728
Re 0.0939 0.9061 0.5000
Re 0.3570 0.9639 0.3328
Re 0.6440 0.0213 0.1728
Re 0.9061 0.0939 0.0000
Re 0.9639 0.3570 0.8328
H 0.2645 0.7122 0.2880
H 0.5348 0.7802 0.1253
H 0.6582 0.8499 0.8965
H 0.7122 0.2645 0.7880
H 0.7802 0.5348 0.6253
H 0.8499 0.6582 0.3965
Ir 0.0912 0.4394 0.2086
Ir 0.3202 0.5253 0.0244
Ir 0.3757 0.7908 0.8426
Ir 0.4394 0.0912 0.7086
Ir 0.5253 0.3202 0.5244
Ir 0.7908 0.3757 0.3426

Crystal system: monoclinic
Energy, eV per atom: -8.00
ρ, g cm⁻³: 18.85